(1)
Computed, not measured: a crystal of Rb3SnBr relaxed with PBEsol at the SCAN level of DFT.

Properties
Total moment (μB per atom): 0.41
Uncorrected formation energy (eV/atom): -0.40
Theoretical density (g/cm3): 2.41
Calculated volume (Å³ per atom): 62.768

Cell and atoms, written as POSCAR:
```
Rb3SnBr
1.0
-0.6249 -5.3456 -4.1492
6.4331 0.8234 -2.0297
2.0993 -4.1144 4.9846
Br Sn Rb
1 1 3
direct
0.5000 0.5000 0.5000
0.0000 0.0000 0.0000
0.0000 0.5000 0.0000
0.0000 0.0000 0.5000
0.5000 0.0000 0.0000
```

(2)
Computed, not measured: a crystal of RbSr2Br5 relaxed with PBEsol at the SCAN level of DFT.

Properties
Total moment (μB per atom): 0.00
Uncorrected formation energy (eV/atom): -2.29
Theoretical density (g/cm3): 4.29
Calculated volume (Å³ per atom): 31.937

Cell and atoms, written as POSCAR:
```
RbSr2Br5
1.0
8.2651 0.0000 0.0000
0.0000 9.3766 0.0023
0.0000 -0.0447 13.1873
Rb Sr Br
4 8 20
direct
0.0553 0.4902 0.6674
0.9447 0.5098 0.3326
0.5553 0.5098 0.8326
0.4447 0.4902 0.1674
0.0272 0.9987 0.6783
0.9728 0.0013 0.3217
0.5272 0.0013 0.8217
0.4728 0.9987 0.1783
0.0702 0.7520 0.9931
0.9298 0.2480 0.0069
0.5702 0.2480 0.5069
0.4298 0.7520 0.4931
0.1764 0.4622 0.9194
0.8236 0.5378 0.0806
0.6764 0.5378 0.5806
0.3236 0.4622 0.4194
0.8349 0.7856 0.8149
0.1651 0.2144 0.1851
0.3349 0.2144 0.6851
0.6651 0.7856 0.3149
0.3105 0.7726 0.7175
0.6895 0.2274 0.2825
0.8105 0.2274 0.7825
0.1895 0.7726 0.2175
0.4543 0.7861 0.9977
0.5457 0.2139 0.0023
0.9543 0.2139 0.5023
0.0457 0.7861 0.4977
0.6627 0.9600 0.5988
0.3373 0.0400 0.4012
0.1627 0.0400 0.9012
0.8373 0.9600 0.0988
```

(3)
Computed, not measured: a crystal of Rb2SrZnBr relaxed with PBEsol at the SCAN level of DFT.

Properties
Total moment (μB per atom): 0.27
Uncorrected formation energy (eV/atom): 0.10
Theoretical density (g/cm3): 1.90
Calculated volume (Å³ per atom): 70.697

Cell and atoms, written as POSCAR:
```
Rb2SrZnBr
1.0
-4.6758 -1.7019 3.1649
4.4595 -4.9735 3.9140
1.5397 5.4967 5.2304
Sr Zn Br Rb
1 1 1 2
direct
0.0000 0.0000 0.0000
0.5000 0.0000 0.0000
0.5000 0.5000 0.5000
0.0000 0.0000 0.5000
0.0000 0.5000 0.0000
```

(4)
Computed, not measured: a crystal of Rb3TaBr relaxed with PBEsol at the SCAN level of DFT.

Properties
Total moment (μB per atom): 1.00
Uncorrected formation energy (eV/atom): 0.76
Theoretical density (g/cm3): 2.86
Calculated volume (Å³ per atom): 60.015

Cell and atoms, written as POSCAR:
```
Rb3TaBr
1.0
6.6949 0.0000 0.0000
0.0000 6.6949 0.0000
0.0000 0.0000 6.6949
Br Rb Ta
1 3 1
direct
0.5000 0.5000 0.5000
0.0000 0.5000 0.0000
0.0000 0.0000 0.5000
0.5000 0.0000 0.0000
0.0000 0.0000 0.0000
```